# 1
DFT (GGA-PBE) results for a relaxed TcNiSeBr2 crystal.

extended XYZ file:
```
5
Lattice="-4.549 -1.489 -0.035 0.407 -1.351 4.574 -1.500 4.547 1.477" Properties=species:S:1:pos:R:3 pbc="T T T"
Ni 0.000 0.000 0.000
Se -0.750 2.274 0.738
Tc -2.821 0.854 3.008
Br 0.204 -0.676 2.287
Br -2.275 -0.745 -0.017
```

Properties
Crystal system: tetragonal
Density of states at the Fermi level (states/eV per atom): 0.522
Space group: P4/mmm (123)
Total energy (eV/atom): -3.92

---

# 2
DFT (GGA-PBE) results for a relaxed ZnSnPS2 crystal.

extended XYZ file:
```
5
Lattice="4.827 0.000 0.000 0.000 4.827 0.000 0.000 0.000 4.553" Properties=species:S:1:pos:R:3 pbc="T T T"
S 0.000 2.414 0.000
S 2.414 0.000 0.000
P 0.000 0.000 2.276
Zn 0.000 0.000 0.000
Sn 2.414 2.414 2.276
```

Properties
Crystal system: tetragonal
Density of states at the Fermi level (states/eV per atom): 1.011
Space group: P4/mmm (123)
Total energy (eV/atom): -3.39

---

# 3
DFT (GGA-PBE) results for a relaxed Zn2Cu7Sb2Au crystal.

extended XYZ file:
```
12
Lattice="-1.834 3.539 0.825 -1.484 -1.695 3.390 5.902 5.265 9.938" Properties=species:S:1:pos:R:3 pbc="T T T"
Zn 1.470 5.157 10.321
Zn 1.114 1.953 3.833
Cu -1.659 0.922 2.108
Cu 2.229 3.036 5.891
Cu 0.354 4.073 8.262
Cu -1.194 3.219 3.385
Cu -1.018 0.585 4.677
Cu 3.602 6.525 9.477
Cu 3.778 3.891 10.768
Sb -0.423 2.916 6.007
Sb 3.007 4.194 8.147
Au 0.000 0.000 0.000
```

Properties
Crystal system: monoclinic
Density of states at the Fermi level (states/eV per atom): 0.225
Space group: C2/m (12)
Total energy (eV/atom): -3.48

---

# 4
DFT (GGA-PBE) results for a relaxed Ba2ZrRu crystal.

extended XYZ file:
```
4
Lattice="-0.820 2.716 3.339 -3.918 -0.064 1.961 1.591 -5.697 7.917" Properties=species:S:1:pos:R:3 pbc="T T T"
Ba -4.433 2.016 5.898
Ba -2.662 -1.650 9.313
Ru -1.973 -0.696 5.840
Zr -0.391 -1.585 4.076
```

Properties
Crystal system: monoclinic
Density of states at the Fermi level (states/eV per atom): 0.579
Space group: Cm (8)
E_form (eV/atom): 0.10
Total energy (eV/atom): -5.32

---

# 5
DFT (GGA-PBE) results for a relaxed TaFeBr2 crystal.

extended XYZ file:
```
4
Lattice="-2.566 -1.392 -0.897 1.444 -4.656 3.098 -2.144 1.681 3.525" Properties=species:S:1:pos:R:3 pbc="T T T"
Br 0.000 0.000 0.000
Br -0.561 -3.024 1.101
Fe -2.355 0.144 1.314
Ta -0.350 -1.488 3.311
```

Properties
Crystal system: orthorhombic
Density of states at the Fermi level (states/eV per atom): 1.081
Space group: Pmmm (47)
Total energy (eV/atom): -5.15

---

# 6
DFT (GGA-PBE) results for a relaxed LaNiTe2 crystal.

extended XYZ file:
```
4
Lattice="-5.748 0.920 -2.106 -3.183 -0.007 -5.309 -0.790 -4.846 0.770" Properties=species:S:1:pos:R:3 pbc="T T T"
La -4.799 -2.107 -3.233
Ni -2.094 -1.565 -1.224
Te -0.342 -0.157 -0.228
Te -7.346 -2.071 -5.282
```

Properties
Crystal system: monoclinic
Density of states at the Fermi level (states/eV per atom): 0.915
Space group: Cm (8)
Total energy (eV/atom): -5.08

---

# 7
DFT (GGA-PBE) results for a relaxed AcMgBe2H8 crystal.

extended XYZ file:
```
12
Lattice="4.482 0.000 0.000 2.241 3.881 0.000 2.241 1.294 6.495" Properties=species:S:1:pos:R:3 pbc="T T T"
Ac 4.482 2.588 3.247
Mg 0.000 0.000 0.000
Be 2.241 1.294 1.471
Be 6.723 3.881 5.023
H 2.241 1.294 2.942
H 3.632 1.367 1.130
H 6.723 3.881 3.552
H 5.964 2.462 1.130
H 3.000 2.713 5.364
H 3.850 3.934 1.130
H 5.114 1.241 5.364
H 5.332 3.808 5.364
```

Properties
Crystal system: trigonal
Density of states at the Fermi level (states/eV per atom): 0.165
Space group: R-3 (148)
Total energy (eV/atom): -3.56

---

# 8
DFT (GGA-PBE) results for a relaxed PrZn2Cu crystal.

extended XYZ file:
```
4
Lattice="4.256 0.000 0.000 2.128 3.686 0.000 2.128 1.229 5.137" Properties=species:S:1:pos:R:3 pbc="T T T"
Pr 0.000 0.000 0.000
Zn 6.384 3.686 3.168
Zn 2.128 1.229 1.969
Cu 4.256 2.457 2.568
```

Properties
Crystal system: trigonal
Density of states at the Fermi level (states/eV per atom): 0.993
Space group: R-3m (166)
E_form (eV/atom): -0.22
Total energy (eV/atom): -3.08

---

# 9
DFT (GGA-PBE) results for a relaxed Pm2In3Au4 crystal.

extended XYZ file:
```
9
Lattice="4.980 0.000 0.003 2.489 4.303 0.150 0.002 -0.405 9.716" Properties=species:S:1:pos:R:3 pbc="T T T"
Pm 2.492 1.108 7.659
Pm 4.980 2.789 2.209
In 2.489 1.281 4.073
In 0.000 0.000 0.000
In 4.983 2.616 5.796
Au 4.982 2.499 8.891
Au 4.980 -0.122 3.358
Au 2.492 4.019 6.510
Au 2.490 1.398 0.977
```

Properties
Crystal system: monoclinic
Density of states at the Fermi level (states/eV per atom): 0.317
Space group: C2/m (12)
E_form (eV/atom): -0.59
Total energy (eV/atom): -4.02

---

# 10
DFT (GGA-PBE) results for a relaxed ZnCdBi2S crystal.

extended XYZ file:
```
5
Lattice="5.643 0.000 0.000 0.000 4.428 0.000 0.000 0.000 5.643" Properties=species:S:1:pos:R:3 pbc="T T T"
S 0.000 2.214 0.000
Zn 0.000 0.000 0.000
Bi 0.000 0.000 2.821
Bi 2.821 0.000 0.000
Cd 2.821 2.214 2.821
```

Properties
Crystal system: tetragonal
Density of states at the Fermi level (states/eV per atom): 0.915
Space group: P4/mmm (123)
Total energy (eV/atom): -2.44

---

# 11
DFT (GGA-PBE) results for a relaxed SrLaAs2Pd4 crystal.

extended XYZ file:
```
8
Lattice="-1.974 3.659 0.632 -2.229 -0.595 -3.515 -7.182 -4.802 5.369" Properties=species:S:1:pos:R:3 pbc="T T T"
Sr -3.591 -2.401 2.684
La 0.000 0.000 0.000
As -4.576 -0.123 0.408
As -6.809 -1.616 2.077
Pd -2.639 -1.317 -0.618
Pd -6.645 -1.954 4.545
Pd -2.511 0.810 1.455
Pd -6.773 -4.081 2.472
```

Properties
Crystal system: tetragonal
Density of states at the Fermi level (states/eV per atom): 0.633
Space group: P4/mmm (123)
E_form (eV/atom): -0.70
Total energy (eV/atom): -5.28

---

# 12
DFT (GGA-PBE) results for a relaxed HgMoRh2 crystal.

extended XYZ file:
```
4
Lattice="-2.803 -3.325 -2.597 -3.125 -2.804 2.834 1.007 4.946 -0.415" Properties=species:S:1:pos:R:3 pbc="T T T"
Hg -2.964 -3.064 0.118
Mo -2.541 -0.461 1.268
Rh -0.001 -0.001 0.000
Rh -2.380 -0.722 -1.447
```

Properties
Crystal system: tetragonal
Density of states at the Fermi level (states/eV per atom): 0.719
Space group: I-4m2 (119)
E_form (eV/atom): 0.19
Total energy (eV/atom): -6.27

---

# 13
DFT (GGA-PBE) results for a relaxed OsAuCl2 crystal.

extended XYZ file:
```
4
Lattice="-1.414 2.424 -0.986 -1.317 -1.628 -2.112 -7.665 -1.923 6.263" Properties=species:S:1:pos:R:3 pbc="T T T"
Os -3.282 -0.083 0.016
Au -7.114 -1.044 3.148
Cl -0.644 -0.161 0.526
Cl -3.189 -0.800 2.605
```

Properties
Crystal system: tetragonal
Density of states at the Fermi level (states/eV per atom): 0.840
Space group: P4/mmm (123)
Total energy (eV/atom): -3.61

---

# 14
DFT (GGA-PBE) results for a relaxed CaFe2Cu crystal.

extended XYZ file:
```
4
Lattice="5.321 0.008 0.010 2.308 4.794 -0.010 -3.171 -3.423 2.556" Properties=species:S:1:pos:R:3 pbc="T T T"
Ca 3.830 2.411 0.000
Fe 7.550 4.751 0.000
Fe 3.283 -0.318 1.283
Cu 1.239 1.736 1.273
```

Properties
Crystal system: orthorhombic
Density of states at the Fermi level (states/eV per atom): 0.576
Space group: Imm2 (44)
E_form (eV/atom): 0.45
Total energy (eV/atom): -5.30

---

# 15
DFT (GGA-PBE) results for a relaxed LiBeAsSe2 crystal.

extended XYZ file:
```
5
Lattice="-1.214 2.879 3.740 -3.654 -3.018 1.137 2.605 -2.198 2.538" Properties=species:S:1:pos:R:3 pbc="T T T"
Be 0.000 0.000 0.000
As 1.303 -1.099 1.269
Se -1.827 -1.509 0.569
Se -0.607 1.440 1.870
Li -1.131 -1.168 3.707
```

Properties
Crystal system: tetragonal
Density of states at the Fermi level (states/eV per atom): 0.455
Space group: P4/mmm (123)
Total energy (eV/atom): -3.43

---

# 16
DFT (GGA-PBE) results for a relaxed NaNdNb4O12 crystal.

extended XYZ file:
```
18
Lattice="3.936 -3.933 0.000 3.936 3.933 0.000 0.000 0.000 8.046" Properties=species:S:1:pos:R:3 pbc="T T T"
Na 3.936 0.000 0.000
Nd 0.000 0.000 4.023
Nb 1.968 1.967 1.975
Nb 1.968 1.967 6.071
Nb 1.968 -1.967 6.071
Nb 1.968 -1.967 1.975
O 1.567 0.000 2.139
O 1.567 0.000 5.907
O 6.305 0.000 2.139
O 6.305 0.000 5.907
O 3.936 -1.652 2.014
O 3.936 -1.652 6.032
O 3.936 1.652 2.014
O 3.936 1.652 6.032
O 1.968 1.967 0.000
O 1.968 1.967 4.023
O 1.968 -1.967 0.000
O 1.968 -1.967 4.023
```

Properties
Crystal system: orthorhombic
Space group: Cmmm (65)
Total energy (eV/atom): -8.49

---

# 17
DFT (GGA-PBE) results for a relaxed MgSi2Ir crystal.

extended XYZ file:
```
4
Lattice="4.561 -0.016 0.000 -1.557 4.287 0.000 0.000 0.000 2.976" Properties=species:S:1:pos:R:3 pbc="T T T"
Ir 2.281 -0.008 1.488
Mg -0.778 2.144 1.488
Si 0.000 0.000 0.000
Si 1.502 2.136 0.000
```

Properties
Crystal system: orthorhombic
Density of states at the Fermi level (states/eV per atom): 0.411
Space group: Cmmm (65)
Total energy (eV/atom): -5.39

---

# 18
DFT (GGA-PBE) results for a relaxed DyFeSb crystal.

extended XYZ file:
```
6
Lattice="-1.307 3.509 2.107 -3.710 -1.951 0.947 2.721 -2.409 5.700" Properties=species:S:1:pos:R:3 pbc="T T T"
Dy 0.307 -2.889 5.002
Dy -0.094 1.259 2.225
Sb -1.085 -1.657 2.086
Sb 1.298 0.027 5.141
Fe -1.148 -0.425 4.377
Fe 1.361 -1.204 2.850
```

Properties
Crystal system: tetragonal
Density of states at the Fermi level (states/eV per atom): 0.504
Space group: P4/nmm (129)
Total energy (eV/atom): -6.23

---

# 19
DFT (GGA-PBE) results for a relaxed CeTh2C2 crystal.

extended XYZ file:
```
5
Lattice="3.659 0.000 0.000 1.829 3.168 0.000 1.829 1.056 9.096" Properties=species:S:1:pos:R:3 pbc="T T T"
Ce 0.000 0.000 0.000
Th 1.829 1.056 2.957
Th 5.488 3.168 6.139
C 3.659 2.112 1.612
C 3.659 2.112 7.484
```

Properties
Crystal system: trigonal
Density of states at the Fermi level (states/eV per atom): 0.969
Space group: R-3m (166)
E_form (eV/atom): -0.22
Total energy (eV/atom): -8.07

---

# 20
DFT (GGA-PBE) results for a relaxed Nd2U2O7 crystal.

extended XYZ file:
```
22
Lattice="6.760 0.000 3.903 2.253 6.373 3.903 0.000 0.000 7.806" Properties=species:S:1:pos:R:3 pbc="T T T"
Nd 5.633 3.983 9.757
Nd 5.633 3.983 5.854
Nd 4.507 0.797 7.806
Nd 2.253 3.983 7.806
U 4.507 0.797 3.903
U 2.253 3.983 3.903
U 1.127 0.797 5.854
U 1.127 0.797 1.951
O 2.024 1.431 7.806
O 3.265 4.942 5.655
O 3.265 0.162 5.655
O 4.277 3.024 3.903
O 6.760 4.780 11.709
O 5.748 1.431 5.655
O 3.265 0.162 2.150
O 1.242 3.024 5.655
O 0.230 0.162 3.903
O 1.242 3.024 2.150
O 3.265 4.942 9.956
O 4.507 3.187 7.806
O 5.748 1.431 9.956
O 6.990 4.942 7.806
```

Properties
Crystal system: cubic
Density of states at the Fermi level (states/eV per atom): 1.067
Space group: Fd-3m (227)
Total energy (eV/atom): -9.37